Material: TbMn3Ge3
Method: DFT, GGA-PBE
State: relaxed

Cell and atoms, written as POSCAR:
```
TbMn3Ge3
1.0
-0.2440 7.7219 1.7995
1.9789 2.4395 7.2842
6.7418 4.0215 1.1410
Mn Ge Tb
6 6 2
direct
0.8608 0.8608 0.1392 Mn
0.1392 0.1392 0.8608 Mn
0.8608 0.1392 0.1392 Mn
0.1392 0.8608 0.8608 Mn
0.8608 0.1392 0.8608 Mn
0.1392 0.8608 0.1392 Mn
0.3383 0.3383 0.6617 Ge
0.6617 0.6617 0.3383 Ge
0.6617 0.3383 0.3383 Ge
0.6617 0.3383 0.6617 Ge
0.3383 0.6617 0.6617 Ge
0.3383 0.6617 0.3383 Ge
0.7500 0.7500 0.7500 Tb
0.2500 0.2500 0.2500 Tb
```

total moment: 0.0 Bohr magnetons per cell
theoretical density: 5096 kg/m³
ΔE_f: 6.12 eV/f.u.
energy relative to the lowest polymorph listed for this composition: 4.049 eV/f.u.
space-group type: Fm-3m, No. 225